# PBE Rb4MgTl3Br8, optimized geometry
# Uncorrected formation energy (eV/atom): -1.235
# DFT total energy (eV/cell): -45.7
data_Rb4MgTl3Br8
_chemical_formula_sum 'Rb4 Mg1 Tl3 Br8'
_space_group_name_H-M_alt 'P 1'
_space_group_IT_number 1
_cell_length_a 9.6290
_cell_length_b 9.6290
_cell_length_c 9.6327
_cell_angle_alpha 119.72
_cell_angle_beta 119.72
_cell_angle_gamma 60.28
loop_
_space_group_symop_operation_xyz
'x,y,z'
loop_
_atom_site_label
_atom_site_type_symbol
_atom_site_fract_x
_atom_site_fract_y
_atom_site_fract_z
Rb1 Rb 0.0000 0.0000 0.0000
Rb2 Rb 0.0000 0.5000 0.5000
Rb3 Rb 0.5000 0.0000 0.5000
Rb4 Rb 0.5000 0.5000 0.0000
Mg1 Mg 0.0000 0.0000 0.5000
Tl1 Tl 0.0000 0.5000 0.0000
Tl2 Tl 0.5000 0.0000 0.0000
Tl3 Tl 0.5000 0.5000 0.5000
Br1 Br 0.2381 0.7576 0.2619
Br2 Br 0.2392 0.2392 0.7436
Br3 Br 0.2424 0.7619 0.7381
Br4 Br 0.2526 0.2526 0.2474
Br5 Br 0.7474 0.7474 0.7526
Br6 Br 0.7576 0.2381 0.2619
Br7 Br 0.7608 0.7608 0.2564
Br8 Br 0.7619 0.2424 0.7381